Entry 1:
KPdI2: optimized geometry, GGA-PBE.

Computed properties:
- DOS(E_F) (states/eV per atom) = 0.694
- ΔE_f (raw) (kJ/mol of formula units) = -227
- space-group type = I-42d

abc: 7.1053 7.1053 8.6036
angles: 65.61 65.61 90.00
Site moments in Bohr magnetons follow the coordinates.
Fractional coordinates of all 8 atoms:
I (0.7166, 0.1250, 0.2500)  0.11
I (0.0334, 0.6250, 0.2500)  0.13
I (0.3750, 0.2834, 0.7500)  0.10
I (0.8750, 0.9666, 0.7500)  0.12
K (0.5000, 0.5000, 0.0000)  0.00
K (0.2500, 0.7500, 0.5000)  0.00
Pd (0.0000, 0.0000, 0.0000)  0.57
Pd (0.7500, 0.2500, 0.5000)  0.57

=====

Entry 2:
KPdI: optimized geometry, GGA-PBE.

Computed properties:
- DOS(E_F) (states/eV per atom) = 0.181
- ΔE_f (raw) (kJ/mol of formula units) = -159
- space-group type = Ima2

abc: 9.0681 9.2005 9.8820
angles: 57.52 90.00 119.52
Fractional coordinates of all 18 atoms:
K (0.2562, 0.4072, 0.5464)
K (0.8490, 0.5928, 0.4536)
K (0.6868, 0.0001, 0.2499)
K (0.6867, 0.9999, 0.7501)
K (0.8482, 0.5922, 0.9539)
K (0.2560, 0.4078, 0.0461)
I (0.3078, 0.0001, 0.7499)
I (0.3077, 0.9999, 0.2501)
I (0.6195, 0.6512, 0.1745)
I (0.9683, 0.3488, 0.8255)
I (0.9683, 0.3488, 0.3257)
I (0.6195, 0.6512, 0.6743)
Pd (0.9936, 0.0000, 0.0000)
Pd (0.9936, 0.0000, 0.5000)
Pd (0.3776, 0.2157, 0.3915)
Pd (0.1620, 0.7843, 0.6085)
Pd (0.1620, 0.7843, 0.1071)
Pd (0.3776, 0.2157, 0.8929)

=====

Entry 3:
K2PdI: optimized geometry, GGA-PBE.

Computed properties:
- DOS(E_F) (states/eV per atom) = 0.218
- ΔE_f (raw) (kJ/mol of formula units) = -127
- space-group type = I-42d

abc: 9.1857 9.1857 7.2501
angles: 50.69 50.69 90.00
Fractional coordinates of all 8 atoms:
I (0.0000, 0.0000, 0.0000)
I (0.7500, 0.2500, 0.5000)
K (0.5871, 0.1250, 0.2500)
K (0.1629, 0.6250, 0.2500)
K (0.3750, 0.4129, 0.7500)
K (0.8750, 0.8371, 0.7500)
Pd (0.5000, 0.5000, 0.0000)
Pd (0.2500, 0.7500, 0.5000)

=====

Entry 4:
KPdI: optimized geometry, GGA-PBE.

Computed properties:
- DOS(E_F) (states/eV per atom) = 0.012
- ΔE_f (raw) (kJ/mol of formula units) = -173
- space-group type = P-6m2

abc: 4.7036 4.7036 4.8280
angles: 90.00 90.00 120.00
Fractional coordinates of all 3 atoms:
I (0.0000, 0.0000, 0.5000)
K (0.6667, 0.3333, 0.0000)
Pd (0.3333, 0.6667, 0.5000)

=====

Entry 5:
KPdI: optimized geometry, GGA-PBE.

Computed properties:
- DOS(E_F) (states/eV per atom) = 0.000
- ΔE_f (raw) (kJ/mol of formula units) = -182
- space-group type = Cm

abc: 10.5009 6.7051 6.7051
angles: 87.54 127.77 52.23
Fractional coordinates of all 6 atoms:
I (0.9983, 0.2015, 0.7985)
I (0.9939, 0.7648, 0.2352)
K (0.4955, 0.1136, 0.3457)
K (0.4955, 0.6543, 0.8864)
Pd (0.4947, 0.1503, 0.8497)
Pd (0.9957, 0.4862, 0.5138)

=====

Entry 6:
KPdI: optimized geometry, GGA-PBE.

Computed properties:
- DOS(E_F) (states/eV per atom) = 0.000
- ΔE_f (raw) (kJ/mol of formula units) = -191
- space-group type = Imma

abc: 5.7440 9.6482 6.7483
angles: 44.37 64.81 90.00
Fractional coordinates of all 6 atoms:
I (0.5430, 0.7930, 0.9140)
I (0.4570, 0.2070, 0.0860)
K (0.0000, 0.0000, 0.0000)
K (0.0000, 0.5000, 0.0000)
Pd (0.5000, 0.5000, 0.5000)
Pd (0.0000, 0.5000, 0.5000)

=====

Entry 7:
KPdI: optimized geometry, GGA-PBE.

Computed properties:
- DOS(E_F) (states/eV per atom) = 0.353
- ΔE_f (raw) (kJ/mol of formula units) = -87
- space-group type = P4/nmm

abc: 5.7305 5.7305 6.0837
angles: 90.00 90.00 90.00
Fractional coordinates of all 6 atoms:
I (0.0000, 0.0000, 0.5000)
I (0.5000, 0.5000, 0.5000)
K (0.0000, 0.5000, 0.1072)
K (0.5000, 0.0000, 0.8928)
Pd (0.0000, 0.5000, 0.5995)
Pd (0.5000, 0.0000, 0.4005)

=====

Entry 8:
KPdI: optimized geometry, GGA-PBE.

Computed properties:
- DOS(E_F) (states/eV per atom) = 0.000
- ΔE_f (raw) (kJ/mol of formula units) = -183
- space-group type = Pm

abc: 4.9615 4.8736 9.3167
angles: 90.00 105.43 90.00
Fractional coordinates of all 6 atoms:
I (0.7813, 0.5000, 0.9886)
I (0.0654, 0.5000, 0.5644)
K (0.6306, 0.0000, 0.6940)
K (0.3781, 0.0000, 0.1866)
Pd (0.9244, 0.5000, 0.2785)
Pd (0.0063, 0.0000, 0.4440)

=====

Entry 9:
K2Pd2I: optimized geometry, GGA-PBE.

Computed properties:
- DOS(E_F) (states/eV per atom) = 0.468
- ΔE_f (raw) (kJ/mol of formula units) = -91
- space-group type = P4/mbm

abc: 7.4425 7.4425 5.0312
angles: 90.00 90.00 90.00
Fractional coordinates of all 10 atoms:
I (0.0000, 0.0000, 0.0000)
I (0.5000, 0.5000, 0.0000)
K (0.1744, 0.6744, 0.5000)
K (0.6744, 0.8256, 0.5000)
K (0.8256, 0.3256, 0.5000)
K (0.3256, 0.1744, 0.5000)
Pd (0.3690, 0.8690, 0.0000)
Pd (0.8690, 0.6310, 0.0000)
Pd (0.6310, 0.1310, 0.0000)
Pd (0.1310, 0.3690, 0.0000)

=====

Entry 10:
KRb2PdI6: optimized geometry, GGA-PBE.

Computed properties:
- DOS(E_F) (states/eV per atom) = 0.521
- ΔE_f (raw) (kJ/mol of formula units) = -824
- space-group type = I4/mmm

abc: 8.6352 8.6352 8.6241
angles: 59.96 59.96 90.00
Fractional coordinates of all 10 atoms:
I (0.2262, 0.2262, 0.5476)
I (0.7738, 0.7738, 0.4524)
I (0.2268, 0.2268, 0.0000)
I (0.7732, 0.7732, 0.0000)
I (0.7732, 0.2268, 0.0000)
I (0.2268, 0.7732, 0.0000)
K (0.5000, 0.5000, 0.0000)
Rb (0.7500, 0.2500, 0.5000)
Rb (0.2500, 0.7500, 0.5000)
Pd (0.0000, 0.0000, 0.0000)

=====

Entry 11:
KSb2PdI: optimized geometry, GGA-PBE.

Computed properties:
- DOS(E_F) (states/eV per atom) = 1.631
- ΔE_f (raw) (kJ/mol of formula units) = 608
- space-group type = P4/mmm

abc: 6.0242 6.0242 6.0399
angles: 90.00 90.00 90.00
Site moments in Bohr magnetons follow the coordinates.
Fractional coordinates of all 5 atoms:
I (0.0000, 0.0000, 0.5000)  0.06
Sb (0.0000, 0.5000, 0.0000)  0.27
Sb (0.5000, 0.0000, 0.0000)  0.27
K (0.0000, 0.0000, 0.0000)  0.04
Pd (0.5000, 0.5000, 0.5000)  0.03

=====

Entry 12:
KSb2PdI: optimized geometry, GGA-PBE.

Computed properties:
- DOS(E_F) (states/eV per atom) = 0.393
- ΔE_f (raw) (kJ/mol of formula units) = -95
- space-group type = P4/mmm

abc: 5.0389 5.0389 8.9955
angles: 90.00 90.00 90.00
Fractional coordinates of all 5 atoms:
I (0.0000, 0.0000, 0.5000)
Sb (0.0000, 0.5000, 0.0000)
Sb (0.5000, 0.0000, 0.0000)
K (0.5000, 0.5000, 0.5000)
Pd (0.0000, 0.0000, 0.0000)

=====

Entry 13:
KPd2SeI: optimized geometry, GGA-PBE.

Computed properties:
- DOS(E_F) (states/eV per atom) = 1.466
- ΔE_f (raw) (kJ/mol of formula units) = 116
- space-group type = P4/mmm

abc: 5.0635 6.6219 5.0635
angles: 90.00 90.00 90.00
Site moments in Bohr magnetons follow the coordinates.
Fractional coordinates of all 5 atoms:
I (0.0000, 0.0000, 0.0000)  0.04
K (0.0000, 0.5000, 0.0000)  0.00
Se (0.5000, 0.5000, 0.5000)  0.61
Pd (0.0000, 0.0000, 0.5000)  0.15
Pd (0.5000, 0.0000, 0.0000)  0.20

=====

Entry 14:
KTcPdI6: optimized geometry, GGA-PBE.

Computed properties:
- DOS(E_F) (states/eV per atom) = 0.918
- ΔE_f (raw) (kJ/mol of formula units) = -283
- space-group type = P312

abc: 7.3798 7.3793 7.7283
angles: 89.99 90.00 60.00
Site moments in Bohr magnetons follow the coordinates.
Fractional coordinates of all 9 atoms:
K (0.0000, 0.0000, 0.0000)  0.01
Tc (0.3333, 0.3333, 0.5000)  1.78
Pd (0.6667, 0.6667, 0.5000)  0.82
I (0.0125, 0.3694, 0.2954)  0.12
I (0.3693, 0.0126, 0.7046)  0.12
I (0.6181, 0.3693, 0.7046)  0.12
I (0.0125, 0.6181, 0.7046)  0.12
I (0.3693, 0.6181, 0.2954)  0.12
I (0.6181, 0.0126, 0.2954)  0.12

=====

Entry 15:
KTl2PdI: optimized geometry, GGA-PBE.

Computed properties:
- DOS(E_F) (states/eV per atom) = 0.162
- ΔE_f (raw) (kJ/mol of formula units) = -215
- space-group type = P4/mmm

abc: 5.3353 5.3353 6.3604
angles: 90.00 90.00 90.00
Fractional coordinates of all 5 atoms:
I (0.5000, 0.5000, 0.5000)
Tl (0.0000, 0.5000, 0.0000)
Tl (0.5000, 0.0000, 0.0000)
K (0.0000, 0.0000, 0.5000)
Pd (0.0000, 0.0000, 0.0000)

=====

Entry 16:
K3Tl3PdI8: optimized geometry, GGA-PBE.

Computed properties:
- DOS(E_F) (states/eV per atom) = 0.051
- ΔE_f (raw) (kJ/mol of formula units) = -1212
- space-group type = R-3m

abc: 9.9468 9.9489 9.9517
angles: 119.96 90.00 120.00
Site moments in Bohr magnetons follow the coordinates.
Fractional coordinates of all 15 atoms:
K (0.5000, 0.0000, 0.5000)  0.00
K (0.5000, 0.5000, 0.5000)  0.00
K (0.0000, 0.5000, 0.5000)  0.00
Tl (0.0000, 0.0000, 0.0000)  0.00
Tl (0.0000, 0.5000, 0.0000)  0.00
Tl (0.5000, 0.5000, 0.0000)  0.00
Pd (0.0000, 0.0000, 0.5000)  0.95
I (0.2507, 0.5013, 0.2518)  0.00
I (0.7493, 0.4987, 0.7482)  0.00
I (0.7934, 0.5869, 0.2924)  0.11
I (0.2066, 0.4131, 0.7076)  0.11
I (0.7933, 0.9991, 0.2923)  0.11
I (0.2067, 0.0009, 0.7077)  0.11
I (0.2058, 0.9991, 0.2923)  0.11
I (0.7942, 0.0009, 0.7077)  0.11

=====

Entry 17:
K2TlPdI: optimized geometry, GGA-PBE.

Computed properties:
- DOS(E_F) (states/eV per atom) = 0.157
- ΔE_f (raw) (kJ/mol of formula units) = -235
- space-group type = P4/mmm

abc: 6.1900 5.2931 6.1900
angles: 90.00 90.00 90.00
Fractional coordinates of all 5 atoms:
I (0.5000, 0.5000, 0.5000)
Tl (0.0000, 0.5000, 0.0000)
K (0.0000, 0.0000, 0.5000)
K (0.5000, 0.0000, 0.0000)
Pd (0.0000, 0.0000, 0.0000)

=====

Entry 18:
KPdWI2: optimized geometry, GGA-PBE.

Computed properties:
- DOS(E_F) (states/eV per atom) = 0.925
- ΔE_f (raw) (kJ/mol of formula units) = 513
- space-group type = P4/mmm

abc: 5.5409 5.6701 5.5409
angles: 90.00 90.00 90.00
Site moments in Bohr magnetons follow the coordinates.
Fractional coordinates of all 5 atoms:
I (0.0000, 0.0000, 0.5000)  0.05
I (0.5000, 0.0000, 0.0000)  0.04
K (0.0000, 0.5000, 0.0000)  0.02
Pd (0.0000, 0.0000, 0.0000)  0.01
W (0.5000, 0.5000, 0.5000)  3.67

=====

Entry 19:
KPm3I8: optimized geometry, GGA-PBE.

Computed properties:
- DOS(E_F) (states/eV per atom) = 0.510
- ΔE_f (raw) (kJ/mol of formula units) = -1563
- space-group type = R-3m

abc: 8.6861 8.6861 10.0246
angles: 64.33 64.33 60.00
Site moments in Bohr magnetons follow the coordinates.
Fractional coordinates of all 12 atoms:
K (0.5000, 0.5000, 0.5000)  0.00
Pm (0.0000, 0.5000, 0.0000)  0.21
Pm (0.5000, 0.0000, 0.0000)  0.21
Pm (0.5000, 0.5000, 0.0000)  0.21
I (0.7427, 0.7427, 0.7719)  0.00
I (0.2573, 0.2573, 0.2281)  0.00
I (0.7654, 0.7654, 0.2148)  0.00
I (0.7654, 0.2545, 0.2148)  0.00
I (0.2545, 0.7654, 0.2148)  0.00
I (0.7455, 0.2346, 0.7852)  0.00
I (0.2346, 0.7455, 0.7852)  0.00
I (0.2346, 0.2346, 0.7852)  0.00

=====

Entry 20:
K2PmI5: optimized geometry, GGA-PBE.

Computed properties:
- DOS(E_F) (states/eV per atom) = 0.000
- ΔE_f (raw) (kJ/mol of formula units) = -1122
- space-group type = Pnma

abc: 9.2892 9.8655 14.6252
angles: 90.00 90.00 90.00
Fractional coordinates of all 32 atoms:
K (0.4338, 0.5043, 0.8278)
K (0.5662, 0.4957, 0.1722)
K (0.9338, 0.4957, 0.6722)
K (0.5662, 0.0043, 0.1722)
K (0.0662, 0.5043, 0.3278)
K (0.4338, 0.9957, 0.8278)
K (0.0662, 0.9957, 0.3278)
K (0.9338, 0.0043, 0.6722)
Pm (0.4201, 0.2500, 0.5058)
Pm (0.5799, 0.7500, 0.4942)
Pm (0.9201, 0.7500, 0.9942)
Pm (0.0799, 0.2500, 0.0058)
I (0.0732, 0.2500, 0.5086)
I (0.9268, 0.7500, 0.4914)
I (0.5732, 0.7500, 0.9914)
I (0.4268, 0.2500, 0.0086)
I (0.3310, 0.9536, 0.5719)
I (0.6690, 0.0464, 0.4281)
I (0.8310, 0.0464, 0.9281)
I (0.6690, 0.4536, 0.4281)
I (0.1690, 0.9536, 0.0719)
I (0.3310, 0.5464, 0.5719)
I (0.1690, 0.5464, 0.0719)
I (0.8310, 0.4536, 0.9281)
I (0.1541, 0.2500, 0.7955)
I (0.8459, 0.7500, 0.2045)
I (0.6541, 0.7500, 0.7045)
I (0.3459, 0.2500, 0.2955)
I (0.6169, 0.2500, 0.6834)
I (0.3831, 0.7500, 0.3166)
I (0.1169, 0.7500, 0.8166)
I (0.8831, 0.2500, 0.1834)

=====

| no. | E (eV for the cell shown) |
| --- | --- |
| 1 | -23.48 |
| 2 | -56.96 |
| 3 | -20.51 |
| 4 | -9.63 |
| 5 | -19.45 |
| 6 | -19.64 |
| 7 | -17.49 |
| 8 | -19.47 |
| 9 | -30.15 |
| 10 | -26.07 |
| 11 | -9.79 |
| 12 | -17.07 |
| 13 | -15.32 |
| 14 | -28.89 |
| 15 | -14.80 |
| 16 | -40.54 |
| 17 | -13.74 |
| 18 | -17.03 |
| 19 | -43.95 |
| 20 | -105.32 |